Ba2V3O8, optimized geometry, DFT GGA+U; total energy = -7.186 eV per atom
1.0
3.8781 0.0000 0.0000
0.0000 3.8781 0.0000
0.0000 0.0000 12.9408
O V Ba
8 3 2
direct
0.5000 0.0000 0.3227
0.5000 0.0000 0.0000
0.5000 0.5000 0.1629
0.5000 0.0000 0.6773
0.5000 0.5000 0.8371
0.0000 0.5000 0.3227
0.0000 0.5000 0.0000
0.0000 0.5000 0.6773
0.5000 0.5000 0.3138
0.5000 0.5000 0.0000
0.5000 0.5000 0.6862
0.0000 0.0000 0.1648
0.0000 0.0000 0.8352